1.
{
  "formula": "CsCO2",
  "functional": "PBEsol",
  "state": "relaxed",
  "energy_ev_per_atom": -6.835,
  "raw_formation_energy_kj_per_mol_fu": -604,
  "total_magnetization_mub_per_cell": 0.0,
  "lattice_angstrom": [[6.539, 0.000, 0.000], [0.000, 10.881, 0.000], [-1.165, 0.000, 8.507]],
  "species": ["Cs", "Cs", "Cs", "Cs", "Cs", "Cs", "Cs", "Cs", "C", "C", "C", "C", "C", "C", "C", "C", "O", "O", "O", "O", "O", "O", "O", "O", "O", "O", "O", "O", "O", "O", "O", "O"],
  "fractional_positions": [[0.212, 0.202, 0.019], [0.212, 0.298, 0.519], [0.270, 0.587, 0.167], [0.270, 0.913, 0.667], [0.730, 0.087, 0.333], [0.730, 0.413, 0.833], [0.788, 0.702, 0.481], [0.788, 0.798, 0.981], [0.191, 0.557, 0.776], [0.191, 0.943, 0.276], [0.332, 0.608, 0.664], [0.332, 0.892, 0.164], [0.668, 0.108, 0.836], [0.668, 0.392, 0.336], [0.809, 0.057, 0.724], [0.809, 0.443, 0.224], [0.046, 0.626, 0.807], [0.046, 0.874, 0.307], [0.231, 0.051, 0.331], [0.231, 0.449, 0.831], [0.269, 0.604, 0.518], [0.269, 0.896, 0.018], [0.498, 0.154, 0.771], [0.498, 0.346, 0.271], [0.502, 0.654, 0.729], [0.502, 0.846, 0.229], [0.731, 0.104, 0.982], [0.731, 0.396, 0.482], [0.769, 0.551, 0.169], [0.769, 0.949, 0.669], [0.954, 0.126, 0.693], [0.954, 0.374, 0.193]]
}

2.
{
  "formula": "Cs4CO4",
  "functional": "PBEsol",
  "state": "relaxed",
  "energy_ev_per_atom": -5.171,
  "raw_formation_energy_kj_per_mol_fu": -1170,
  "total_magnetization_mub_per_cell": 0.0,
  "lattice_angstrom": [[6.514, -2.583, 0.000], [6.514, 2.583, 0.000], [-2.977, 0.000, 6.646]],
  "species": ["Cs", "Cs", "Cs", "Cs", "C", "O", "O", "O", "O"],
  "fractional_positions": [[0.133, 0.133, 0.341], [0.168, 0.548, 0.134], [0.452, 0.832, 0.866], [0.867, 0.867, 0.659], [0.654, 0.346, 0.000], [0.427, 0.434, 0.836], [0.566, 0.573, 0.164], [0.743, 0.115, 0.059], [0.885, 0.257, 0.941]]
}

3.
{
  "formula": "CsPrC2O6",
  "functional": "PBEsol",
  "state": "relaxed",
  "energy_ev_per_atom": -7.837,
  "raw_formation_energy_kj_per_mol_fu": -2071,
  "total_magnetization_mub_per_cell": 0.0,
  "lattice_angstrom": [[8.513, 0.000, 0.000], [-3.700, 8.004, 0.000], [-0.934, -1.907, 8.680]],
  "species": ["Cs", "Cs", "Cs", "Cs", "Pr", "Pr", "Pr", "Pr", "C", "C", "C", "C", "C", "C", "C", "C", "O", "O", "O", "O", "O", "O", "O", "O", "O", "O", "O", "O", "O", "O", "O", "O", "O", "O", "O", "O", "O", "O", "O", "O"],
  "fractional_positions": [[0.240, 0.187, 0.028], [0.241, 0.029, 0.530], [0.759, 0.971, 0.470], [0.760, 0.813, 0.972], [0.243, 0.714, 0.039], [0.261, 0.522, 0.548], [0.739, 0.478, 0.452], [0.757, 0.286, 0.961], [0.002, 0.728, 0.712], [0.026, 0.288, 0.789], [0.418, 0.603, 0.267], [0.456, 0.859, 0.756], [0.544, 0.141, 0.244], [0.582, 0.397, 0.733], [0.974, 0.712, 0.211], [0.998, 0.272, 0.288], [0.046, 0.631, 0.617], [0.064, 0.422, 0.899], [0.095, 0.806, 0.847], [0.103, 0.853, 0.201], [0.114, 0.296, 0.681], [0.138, 0.257, 0.336], [0.275, 0.616, 0.290], [0.395, 0.724, 0.817], [0.440, 0.832, 0.608], [0.471, 0.990, 0.160], [0.472, 0.629, 0.140], [0.499, 0.565, 0.376], [0.501, 0.435, 0.624], [0.528, 0.371, 0.860], [0.529, 0.010, 0.840], [0.560, 0.168, 0.392], [0.605, 0.276, 0.183], [0.725, 0.384, 0.710], [0.862, 0.743, 0.664], [0.886, 0.704, 0.319], [0.897, 0.147, 0.799], [0.905, 0.194, 0.153], [0.936, 0.578, 0.101], [0.954, 0.369, 0.383]]
}

4.
{
  "formula": "Cs2Sr2C3O9",
  "functional": "PBEsol",
  "state": "relaxed",
  "energy_ev_per_atom": -7.212,
  "raw_formation_energy_kj_per_mol_fu": -3247,
  "total_magnetization_mub_per_cell": 0.0,
  "lattice_angstrom": [[-4.999, 4.999, 4.999], [4.999, -4.999, 4.999], [4.999, 4.999, -4.999]],
  "species": ["Cs", "Cs", "Cs", "Cs", "Sr", "Sr", "Sr", "Sr", "C", "C", "C", "C", "C", "C", "O", "O", "O", "O", "O", "O", "O", "O", "O", "O", "O", "O", "O", "O", "O", "O", "O", "O"],
  "fractional_positions": [[0.000, 0.889, 0.500], [0.500, 0.000, 0.889], [0.611, 0.611, 0.611], [0.889, 0.500, 0.000], [0.000, 0.407, 0.500], [0.093, 0.093, 0.093], [0.407, 0.500, 0.000], [0.500, 0.000, 0.407], [0.155, 0.750, 0.905], [0.250, 0.595, 0.345], [0.345, 0.250, 0.595], [0.595, 0.345, 0.250], [0.750, 0.905, 0.155], [0.905, 0.155, 0.750], [0.025, 0.750, 0.775], [0.081, 0.221, 0.865], [0.140, 0.419, 0.284], [0.216, 0.635, 0.856], [0.221, 0.865, 0.081], [0.250, 0.725, 0.475], [0.279, 0.360, 0.644], [0.284, 0.140, 0.419], [0.360, 0.644, 0.279], [0.419, 0.284, 0.140], [0.475, 0.250, 0.725], [0.635, 0.856, 0.216], [0.644, 0.279, 0.360], [0.725, 0.475, 0.250], [0.750, 0.775, 0.025], [0.775, 0.025, 0.750], [0.856, 0.216, 0.635], [0.865, 0.081, 0.221]]
}

5.
{
  "formula": "CsOsC3",
  "functional": "PBEsol",
  "state": "relaxed",
  "energy_ev_per_atom": -3.501,
  "e_form_ev_per_fu": 24.58,
  "total_magnetization_mub_per_cell": 0.9,
  "lattice_angstrom": [[4.222, 0.000, 0.000], [0.000, 4.222, 0.000], [0.000, 0.000, 4.222]],
  "species": ["Cs", "Os", "C", "C", "C"],
  "fractional_positions": [[0.000, 0.000, 0.000], [0.500, 0.500, 0.500], [0.000, 0.000, 0.500], [0.000, 0.500, 0.000], [0.500, 0.000, 0.000]]
}

6.
{
  "formula": "CsRbOsC2",
  "functional": "PBEsol",
  "state": "relaxed",
  "energy_ev_per_atom": -2.830,
  "e_form_ev_per_fu": 19.32,
  "total_magnetization_mub_per_cell": 8.5,
  "lattice_angstrom": [[5.582, 0.000, 0.000], [0.000, 5.582, 0.000], [0.000, 0.000, 6.277]],
  "species": ["Cs", "Rb", "Os", "C", "C"],
  "fractional_positions": [[0.000, 0.000, 0.000], [0.500, 0.500, 0.500], [0.500, 0.500, 0.000], [0.000, 0.500, 0.500], [0.500, 0.000, 0.500]]
}

7.
{
  "formula": "CsPC3",
  "functional": "PBEsol",
  "state": "relaxed",
  "energy_ev_per_atom": -4.779,
  "e_form_ev_per_fu": 11.77,
  "total_magnetization_mub_per_cell": 0.0,
  "lattice_angstrom": [[3.900, 0.000, 0.000], [0.000, 3.900, 0.000], [0.000, 0.000, 3.900]],
  "species": ["Cs", "P", "C", "C", "C"],
  "fractional_positions": [[0.000, 0.000, 0.000], [0.500, 0.500, 0.500], [0.000, 0.500, 0.500], [0.500, 0.000, 0.500], [0.500, 0.500, 0.000]]
}

8.
{
  "formula": "CsRe2PC",
  "functional": "PBEsol",
  "state": "relaxed",
  "energy_ev_per_atom": -6.129,
  "e_form_ev_per_fu": 12.40,
  "total_magnetization_mub_per_cell": 0.1,
  "lattice_angstrom": [[4.394, 0.000, 0.000], [0.000, 4.394, 0.000], [0.000, 0.000, 6.629]],
  "species": ["Cs", "Re", "Re", "P", "C"],
  "fractional_positions": [[0.000, 0.000, 0.000], [0.000, 0.500, 0.500], [0.500, 0.000, 0.500], [0.000, 0.000, 0.500], [0.500, 0.500, 0.000]]
}

9.
{
  "formula": "CsPbC2",
  "functional": "PBEsol",
  "state": "relaxed",
  "energy_ev_per_atom": -3.937,
  "e_form_ev_per_fu": 8.48,
  "total_magnetization_mub_per_cell": 0.0,
  "lattice_angstrom": [[-2.701, 2.701, 6.899], [2.701, -2.701, 6.899], [2.701, 2.701, -6.899]],
  "species": ["Cs", "Cs", "Pb", "Pb", "C", "C", "C", "C"],
  "fractional_positions": [[0.000, 0.000, 0.000], [0.750, 0.250, 0.500], [0.250, 0.750, 0.500], [0.500, 0.500, 0.000], [0.276, 0.625, 0.151], [0.375, 0.526, 0.651], [0.474, 0.125, 0.849], [0.875, 0.724, 0.349]]
}

10.
{
  "formula": "Cs2PtC2",
  "functional": "PBEsol",
  "state": "relaxed",
  "energy_ev_per_atom": -5.661,
  "e_form_ev_per_fu": -0.17,
  "total_magnetization_mub_per_cell": 0.0,
  "lattice_angstrom": [[5.594, 0.000, 0.000], [-2.797, 4.845, 0.000], [0.000, 0.000, 5.203]],
  "species": ["Cs", "Cs", "Pt", "C", "C"],
  "fractional_positions": [[0.333, 0.667, 0.229], [0.667, 0.333, 0.771], [0.000, 0.000, 0.500], [0.000, 0.000, 0.123], [0.000, 0.000, 0.877]]
}

11.
{
  "formula": "CsRuC2",
  "functional": "PBEsol",
  "state": "relaxed",
  "energy_ev_per_atom": -6.979,
  "e_form_ev_per_fu": 2.48,
  "total_magnetization_mub_per_cell": 0.0,
  "lattice_angstrom": [[0.000, 4.308, 4.308], [4.308, 0.000, 4.308], [4.308, 4.308, 0.000]],
  "species": ["Cs", "Cs", "Ru", "Ru", "C", "C", "C", "C"],
  "fractional_positions": [[0.125, 0.125, 0.125], [0.875, 0.875, 0.875], [0.375, 0.375, 0.375], [0.625, 0.625, 0.625], [0.000, 0.500, 0.500], [0.500, 0.000, 0.500], [0.500, 0.500, 0.000], [0.500, 0.500, 0.500]]
}

12.
{
  "formula": "CsCS2",
  "functional": "PBEsol",
  "state": "relaxed",
  "energy_ev_per_atom": -4.821,
  "raw_formation_energy_kj_per_mol_fu": 7,
  "total_magnetization_mub_per_cell": 1.0,
  "lattice_angstrom": [[2.908, 1.679, 5.303], [-2.908, 1.679, 5.303], [0.000, -3.358, 5.303]],
  "species": ["Cs", "C", "S", "S"],
  "fractional_positions": [[0.000, 0.000, 0.000], [0.500, 0.500, 0.500], [0.399, 0.399, 0.399], [0.601, 0.601, 0.601]]
}